The following is a DFT calculation (PBE with a Hubbard U) of crystalline NdBe3Cr4O12 at its relaxed geometry.

## Properties
E_tot (eV per atom): -7.251
SG: No. 204

Lattice parameters (Å, degrees): 6.2512 6.2512 6.2512 109.47 109.47 109.47
Last column: nearest neighbours and their distance in Å.
Fractional coordinates of all 20 atoms:
Nd1 0.0000 0.0000 0.0000  12 O 2.60
Be1 0.0000 0.5000 0.5000  4 O 1.74
Be2 0.5000 0.0000 0.5000  4 O 1.74
Be3 0.5000 0.5000 0.0000  4 O 1.74
Cr1 0.0000 0.0000 0.5000  6 O 1.98
Cr2 0.0000 0.5000 0.0000  6 O 1.98
Cr3 0.5000 0.0000 0.0000  6 O 1.98
Cr4 0.5000 0.5000 0.5000  6 O 1.98
O1 0.1588 0.3212 0.8376  1 Be 1.74
O2 0.1624 0.4836 0.3212  1 Be 1.74
O3 0.1624 0.8412 0.6788  1 Be 1.74
O4 0.3212 0.1624 0.4836  1 Be 1.74
O5 0.3212 0.8376 0.1588  1 Be 1.74
O6 0.4836 0.3212 0.1624  1 Be 1.74
O7 0.5164 0.6788 0.8376  1 Be 1.74
O8 0.6788 0.1624 0.8412  1 Be 1.74
O9 0.6788 0.8376 0.5164  1 Be 1.74
O10 0.8376 0.1588 0.3212  1 Be 1.74
O11 0.8376 0.5164 0.6788  1 Be 1.74
O12 0.8412 0.6788 0.1624  1 Be 1.74